No. 1
# NiSn3Mo

Crystalline NiSn3Mo at its relaxed geometry (PBE, Alexandria via LeMat-Bulk).

a = 5.2063 Å, b = 5.2063 Å, c = 5.2063 Å
α = 90.00°, β = 90.00°, γ = 90.00°
Last column: nearest neighbours and their distance in Å.
Space group Pm-3m (No. 221)
Inequivalent atoms, fractional coordinates:
Ni  0.0000  0.0000  0.0000  12 Sn 3.68
Sn  0.0000  0.5000  0.5000  2 Mo 2.60
Mo  0.5000  0.5000  0.5000  6 Sn 2.60

ΔE to the lowest computed polymorph   131 meV per atom
V   28.2 A^3/atom
Calculated formation energy   868 meV per atom
Crystal system   cubic

***

No. 2
# TiNiSnMo

Crystalline TiNiSnMo at its relaxed geometry (PBE, Alexandria via LeMat-Bulk).

a = 6.3371 Å, b = 6.3371 Å, c = 6.3371 Å
α = 90.00°, β = 90.00°, γ = 90.00°
Last column: nearest neighbours and their distance in Å.
Space group F-43m (No. 216)
Inequivalent atoms, fractional coordinates:
Ti  0.0000  0.0000  0.0000  4 Mo 2.74, 4 Ni 2.74
Ni  0.2500  0.2500  0.7500  4 Ti 2.74, 4 Sn 2.74
Sn  0.0000  0.0000  0.5000  4 Ni 2.74, 4 Mo 2.74
Mo  0.2500  0.2500  0.2500  4 Sn 2.74, 4 Ti 2.74

V   15.9 A^3/atom
Calculated formation energy   -79 meV per atom
Crystal system   cubic

***

No. 3
# SrNiMo

Crystalline SrNiMo at its relaxed geometry (PBE, Alexandria via LeMat-Bulk).

a = 6.5725 Å, b = 6.5725 Å, c = 6.5725 Å
α = 90.00°, β = 90.00°, γ = 90.00°
Last column: nearest neighbours and their distance in Å.
Space group F-43m (No. 216)
Inequivalent atoms, fractional coordinates:
Sr  0.0000  0.0000  0.0000  4 Ni 2.85
Ni  0.2500  0.2500  0.2500  4 Mo 2.85, 4 Sr 2.85
Mo  0.0000  0.0000  0.5000  4 Ni 2.85

ΔE to the lowest computed polymorph   834 meV per atom
V   23.7 A^3/atom
Calculated formation energy   1109 meV per atom
Crystal system   cubic

***

No. 4
# Sr2NiMo

Crystalline Sr2NiMo at its relaxed geometry (PBE, Alexandria via LeMat-Bulk).

a = 3.7176 Å, b = 5.2212 Å, c = 11.4720 Å
α = 90.00°, β = 90.00°, γ = 90.00°
Last column: nearest neighbours and their distance in Å.
Space group Imm2 (No. 44)
Inequivalent atoms, fractional coordinates:
Sr  0.0000  0.0000  0.0000  4 Ni 3.30, 2 Mo 3.37, 2 Sr 3.61
Sr  0.0000  0.5000  0.2173  4 Mo 3.39, 4 Ni 3.59-3.76, 6 Sr 3.61-3.74
Ni  0.0000  0.0000  0.4328  2 Mo 2.30
Mo  0.0000  0.5000  0.8144  2 Ni 2.30

ΔE to the lowest computed polymorph   55 meV per atom
V   27.8 A^3/atom
Calculated formation energy   584 meV per atom
Crystal system   orthorhombic

***

No. 5
# Sr2NiMo

Crystalline Sr2NiMo at its relaxed geometry (PBE, Alexandria via LeMat-Bulk).

a = 3.3939 Å, b = 3.3939 Å, c = 29.0714 Å
α = 90.00°, β = 90.00°, γ = 120.00°
Last column: nearest neighbours and their distance in Å.
Space group R-3m (No. 166, hexagonal axes)
Inequivalent atoms, fractional coordinates:
Sr  0.0000  0.0000  0.2430  3 Ni 2.96, 3 Mo 3.28
Ni  0.0000  0.0000  0.5000  6 Sr 2.96
Mo  0.0000  0.0000  0.0000  6 Sr 3.28, 6 Mo 3.39

ΔE to the lowest computed polymorph   526 meV per atom
V   24.2 A^3/atom
Calculated formation energy   1055 meV per atom
Crystal system   trigonal

***

No. 6
# SrNiMo

Crystalline SrNiMo at its relaxed geometry (PBE, Alexandria via LeMat-Bulk).

a = 3.5137 Å, b = 4.2214 Å, c = 9.1753 Å
α = 90.00°, β = 90.00°, γ = 90.00°
Last column: nearest neighbours and their distance in Å.
Space group Pmmn (No. 59, origin choice 2)
Inequivalent atoms, fractional coordinates:
Sr  0.2500  0.2500  0.1740  4 Ni 3.00
Ni  0.2500  0.2500  0.6945  2 Mo 2.43
Mo  0.2500  0.7500  0.4884  2 Ni 2.43

ΔE to the lowest computed polymorph   11 meV per atom
V   22.7 A^3/atom
Calculated formation energy   286 meV per atom
Crystal system   orthorhombic

***

No. 7
# SrNiMo

Crystalline SrNiMo at its relaxed geometry (PBE, Alexandria via LeMat-Bulk).

a = 6.7727 Å, b = 6.7727 Å, c = 6.7727 Å
α = 90.00°, β = 90.00°, γ = 90.00°
Last column: nearest neighbours and their distance in Å.
Space group F-43m (No. 216)
Inequivalent atoms, fractional coordinates:
Sr  0.0000  0.0000  0.0000  4 Mo 2.93, 4 Ni 2.93
Ni  0.2500  0.2500  0.2500  4 Sr 2.93
Mo  0.2500  0.2500  0.7500  4 Sr 2.93

ΔE to the lowest computed polymorph   1619 meV per atom
V   25.9 A^3/atom
Calculated formation energy   1894 meV per atom
Crystal system   cubic

***

No. 8
# SrNiMo

Crystalline SrNiMo at its relaxed geometry (PBE, Alexandria via LeMat-Bulk).

a = 5.3235 Å, b = 4.3160 Å, c = 10.9023 Å
α = 90.00°, β = 90.00°, γ = 90.00°
Last column: nearest neighbours and their distance in Å.
Space group Pnma (No. 62)
Inequivalent atoms, fractional coordinates:
Sr  0.0647  0.2500  0.1253  2 Ni 2.74-2.83
Ni  0.0558  0.2500  0.4488  2 Ni 2.50, 3 Mo 2.51-2.53, 1 Sr 2.74
Mo  0.0562  0.7500  0.3279  3 Ni 2.51-2.53

ΔE to the lowest computed polymorph   259 meV per atom
V   20.9 A^3/atom
Calculated formation energy   535 meV per atom
Crystal system   orthorhombic

***

No. 9
# Sr2NiMo

Crystalline Sr2NiMo at its relaxed geometry (PBE, Alexandria via LeMat-Bulk).

a = 7.3587 Å, b = 7.3587 Å, c = 7.3587 Å
α = 90.00°, β = 90.00°, γ = 90.00°
Last column: nearest neighbours and their distance in Å.
Space group F-43m (No. 216)
Inequivalent atoms, fractional coordinates:
Sr  0.0000  0.0000  0.0000  4 Ni 3.19, 4 Sr 3.19
Sr  0.2500  0.2500  0.2500  4 Mo 3.19, 4 Sr 3.19
Ni  0.2500  0.2500  0.7500  4 Mo 3.19, 4 Sr 3.19
Mo  0.0000  0.0000  0.5000  4 Sr 3.19, 4 Ni 3.19

ΔE to the lowest computed polymorph   461 meV per atom
V   24.9 A^3/atom
Calculated formation energy   990 meV per atom
Crystal system   cubic

***

No. 10
# SrNi3Mo

Crystalline SrNi3Mo at its relaxed geometry (PBE, Alexandria via LeMat-Bulk).

a = 4.6507 Å, b = 4.6507 Å, c = 4.6507 Å
α = 90.00°, β = 90.00°, γ = 90.00°
Last column: nearest neighbours and their distance in Å.
Space group Pm-3m (No. 221)
Inequivalent atoms, fractional coordinates:
Sr  0.0000  0.0000  0.0000  6 Ni 2.33
Ni  0.0000  0.0000  0.5000  2 Sr 2.33
Mo  0.5000  0.5000  0.5000  12 Ni 3.29

ΔE to the lowest computed polymorph   1470 meV per atom
V   20.1 A^3/atom
Calculated formation energy   2083 meV per atom
Crystal system   cubic

***

No. 11
# Sr2NiMo

Crystalline Sr2NiMo at its relaxed geometry (PBE, Alexandria via LeMat-Bulk).

a = 7.5691 Å, b = 7.5691 Å, c = 7.5691 Å
α = 90.00°, β = 90.00°, γ = 90.00°
Last column: nearest neighbours and their distance in Å.
Space group Fm-3m (No. 225)
Inequivalent atoms, fractional coordinates:
Sr  0.2500  0.2500  0.2500  4 Mo 3.28, 4 Ni 3.28
Ni  0.0000  0.0000  0.0000  8 Sr 3.28
Mo  0.0000  0.0000  0.5000  8 Sr 3.28

ΔE to the lowest computed polymorph   400 meV per atom
V   27.1 A^3/atom
Calculated formation energy   930 meV per atom
Crystal system   cubic

***

No. 12
# SrNiMo

Crystalline SrNiMo at its relaxed geometry (PBE, Alexandria via LeMat-Bulk).

a = 3.1968 Å, b = 3.1968 Å, c = 12.0948 Å
α = 90.00°, β = 90.00°, γ = 90.00°
Last column: nearest neighbours and their distance in Å.
Space group I4mm (No. 107)
Inequivalent atoms, fractional coordinates:
Sr  0.0000  0.0000  0.0000  4 Sr 3.20, 4 Ni 3.31, 5 Mo 3.44-3.46
Ni  0.0000  0.0000  0.3005  4 Mo 2.49
Mo  0.0000  0.0000  0.7141  4 Ni 2.49

ΔE to the lowest computed polymorph   282 meV per atom
V   20.6 A^3/atom
Calculated formation energy   557 meV per atom
Crystal system   tetragonal

***

No. 13
# SrNiMo

Crystalline SrNiMo at its relaxed geometry (PBE, Alexandria via LeMat-Bulk).

a = 11.4586 Å, b = 4.2188 Å, c = 5.2929 Å
α = 90.00°, β = 92.11°, γ = 90.00°
Last column: nearest neighbours and their distance in Å.
Space group Cm (No. 8)
Inequivalent atoms, fractional coordinates:
Sr  0.0000  0.0000  0.0000  1 Mo 3.01, 1 Ni 3.31
Sr  0.0560  0.5000  0.4977  1 Ni 2.99
Ni  0.2785  0.0000  0.2549  4 Mo 2.50-2.72, 2 Ni 2.51
Ni  0.3171  0.5000  0.5001  2 Ni 2.51, 3 Mo 2.51-2.70
Mo  0.2374  0.5000  0.0141  3 Ni 2.50-2.70, 2 Mo 2.61
Mo  0.2781  0.0000  0.7403  4 Ni 2.51-2.72, 2 Mo 2.61

ΔE to the lowest computed polymorph   83 meV per atom
V   21.3 A^3/atom
Calculated formation energy   358 meV per atom
Crystal system   monoclinic

***

No. 14
# SrNiMo

Crystalline SrNiMo at its relaxed geometry (PBE, Alexandria via LeMat-Bulk).

a = 7.9070 Å, b = 3.5514 Å, c = 9.5680 Å
α = 90.00°, β = 90.00°, γ = 90.00°
Last column: nearest neighbours and their distance in Å.
Space group Pnma (No. 62)
Inequivalent atoms, fractional coordinates:
Sr  0.0506  0.2500  0.1755  5 Ni 3.02-3.29
Ni  0.2288  0.7500  0.3843  3 Mo 2.48-2.75
Mo  0.1033  0.2500  0.5318  3 Ni 2.48-2.75, 2 Mo 2.49

ΔE to the lowest computed polymorph   95 meV per atom
V   22.4 A^3/atom
Calculated formation energy   371 meV per atom
Crystal system   orthorhombic

***

No. 15
# Sr2NiMo

Crystalline Sr2NiMo at its relaxed geometry (PBE, Alexandria via LeMat-Bulk).

a = 3.8004 Å, b = 3.8004 Å, c = 7.2567 Å
α = 90.00°, β = 90.00°, γ = 90.00°
Last column: nearest neighbours and their distance in Å.
Space group P4/mmm (No. 123)
Inequivalent atoms, fractional coordinates:
Sr  0.0000  0.0000  0.2337  4 Ni 3.18, 4 Mo 3.31, 1 Sr 3.39
Ni  0.5000  0.5000  0.0000  8 Sr 3.18
Mo  0.5000  0.5000  0.5000  8 Sr 3.31, 2 Ni 3.63

ΔE to the lowest computed polymorph   337 meV per atom
V   26.2 A^3/atom
Calculated formation energy   866 meV per atom
Crystal system   tetragonal